{
  "formula": "LaSbIr",
  "functional": "SCAN",
  "state": "PBEsol geometry",
  "lattice_angstrom": [[7.436, 0.000, 0.000], [0.000, 4.596, 0.000], [0.000, 0.000, 7.933]],
  "species": ["La", "La", "La", "La", "Sb", "Sb", "Sb", "Sb", "Ir", "Ir", "Ir", "Ir"],
  "fractional_positions": [[0.017, 0.250, 0.190], [0.483, 0.750, 0.690], [0.517, 0.250, 0.310], [0.983, 0.750, 0.810], [0.173, 0.250, 0.585], [0.327, 0.750, 0.085], [0.673, 0.250, 0.915], [0.827, 0.750, 0.415], [0.202, 0.750, 0.408], [0.298, 0.250, 0.908], [0.702, 0.750, 0.092], [0.798, 0.250, 0.592]],
  "dft_energy_ev_per_atom": -51.551,
  "crystal_system": "orthorhombic",
  "mass_density_g_cm3": 11.10
}